A plane-wave DFT calculation with PBE was carried out for a geometry-optimized Pr2GaNi2 structure.

Output
Total DFT energy (no corrections) = -5.195 eV/atom
Space-group type = Immm, No. 71
Calculated density = 7.6 g/cm3
Total magnetization = 0.002 μB/f.u.

a = 4.2919 Å, b = 5.4713 Å, c = 8.6929 Å
α = 90.00°, β = 90.00°, γ = 90.00°
Last column: nearest neighbours and their distance in Å.
Atoms (fractional coordinates):
Pr  0.0000  0.0000  0.2008  6 Ni 2.97-3.06, 2 Ga 3.25
Pr  0.0000  0.0000  0.7992  6 Ni 2.97-3.06, 2 Ga 3.25
Pr  0.5000  0.5000  0.2992  6 Ni 2.97-3.06, 2 Ga 3.25
Pr  0.5000  0.5000  0.7008  6 Ni 2.97-3.06, 2 Ga 3.25
Ga  0.0000  0.5000  0.0000  4 Ni 2.58
Ga  0.5000  0.0000  0.5000  4 Ni 2.58
Ni  0.0000  0.2627  0.5000  2 Ga 2.58, 2 Ni 2.60-2.87
Ni  0.0000  0.7373  0.5000  2 Ga 2.58, 2 Ni 2.60-2.87
Ni  0.5000  0.2373  0.0000  2 Ga 2.58, 2 Ni 2.60-2.87
Ni  0.5000  0.7627  0.0000  2 Ga 2.58, 2 Ni 2.60-2.87